# 1
Computed, not measured: crystalline Ba5B3CNO9 at its relaxed geometry at the GGA-PBEsol level of DFT.

Symmetry: C222_1

a = 7.9581 Å, b = 9.0262 Å, c = 9.0262 Å
α = 109.21°, β = 90.00°, γ = 90.00°
Closest atoms and distances in Å follow each position.
Element x y z (fractional)
B 0.0000 0.8722 0.8722  3 O 1.39-1.40
O 0.1164 0.5276 0.2321  1 B 1.39
N 0.7500 0.5359 0.4641  1 C 1.18
C 0.2500 0.3837 0.6163  1 N 1.18
Ba 0.4354 0.4925 0.2366  5 O 2.56-2.78
Ba 0.5646 0.2366 0.4925  5 O 2.56-2.78
B 0.5000 0.1278 0.1278  3 O 1.39-1.40
O 0.8470 0.8095 0.8056  1 B 1.39
O 0.1530 0.8056 0.8095  1 B 1.39
Ba 0.5000 0.7414 0.7414  7 O 2.64-2.89
B 0.5305 0.4847 0.9051  3 O 1.39-1.40
O 0.6164 0.4724 0.7679  1 B 1.39
Ba 0.7500 0.8557 0.1443  6 O 2.60-2.91
B 0.0305 0.5153 0.0949  3 O 1.39-1.40
O 0.3836 0.7679 0.4724  1 B 1.39
N 0.2500 0.4641 0.5359  1 C 1.18
Ba 0.2500 0.8615 0.1385  8 O 2.74-2.95
Ba 0.9354 0.5075 0.7634  5 O 2.56-2.78
O 0.6530 0.1944 0.1905  1 B 1.39
Ba 0.0646 0.7634 0.5075  5 O 2.56-2.78
C 0.7500 0.6163 0.3837  1 N 1.18
O 0.9913 0.6500 0.0606  1 B 1.39
Ba 0.2500 0.1443 0.8557  6 O 2.60-2.91
B 0.4695 0.9051 0.4847  3 O 1.39-1.40
O 0.0000 0.0059 0.0059  1 B 1.40
O 0.3470 0.1905 0.1944  1 B 1.39
O 0.0087 0.0606 0.6500  1 B 1.39
B 0.9695 0.0949 0.5153  3 O 1.39-1.40
Ba 0.0000 0.2586 0.2586  7 O 2.64-2.89
O 0.5087 0.9394 0.3500  1 B 1.39
O 0.4886 0.6332 0.0096  1 B 1.40
O 0.9886 0.3668 0.9904  1 B 1.40
Ba 0.7500 0.1385 0.8615  8 O 2.74-2.95
O 0.5114 0.0096 0.6332  1 B 1.40
O 0.8836 0.2321 0.5276  1 B 1.39
O 0.0114 0.9904 0.3668  1 B 1.40
O 0.5000 0.9941 0.9941  1 B 1.40
O 0.4913 0.3500 0.9394  1 B 1.39

=====

# 2
Computed, not measured: crystalline SrSb3 at its relaxed geometry at the GGA-PBEsol level of DFT.

Symmetry: P-6m2

a = 4.8381 Å, b = 4.8381 Å, c = 6.6586 Å
α = 90.00°, β = 90.00°, γ = 120.00°
Closest atoms and distances in Å follow each position.
Element x y z (fractional)
Sb 0.0000 0.0000 0.2295  4 Sb 3.06-3.18, 3 Sr 3.32
Sr 0.3333 0.6667 0.5000  8 Sb 3.32-3.33
Sb 0.3333 0.6667 0.0000  6 Sb 3.18, 2 Sr 3.33
Sb 0.0000 0.0000 0.7705  4 Sb 3.06-3.18, 3 Sr 3.32

=====

Values of total DFT energy (no corrections), in order: -288.5, -16.5, all in eV/cell.
Values of uncorrected formation energy, in order: -2.4754, -0.2567, all in eV/atom.